Entry from Alexandria: a geometry-optimized PmHoTlRh structure (PBE).

POSCAR file:
```
PmHoTlRh
1.0
3.5291 0.0000 0.0000
0.0000 3.5291 0.0000
0.0000 0.0000 7.8843
Pm Ho Tl Rh
1 1 1 1
direct
0.0000 0.0000 0.0000 Pm
0.0000 0.0000 0.5751 Ho
0.5000 0.5000 0.2970 Tl
0.5000 0.5000 0.7707 Rh
```

Symmetry: P4mm (99)
Polymorph energy (0 for the lowest one): 0.0 meV per atom
Calculated formation energy: -0.579 eV per atom